MnVGa5 | the Alexandria database | PBE | optimized geometry; calculated total energy = -69.28 eV per cell; symmetry = Cmmm, No. 65; calculated density = 7.09 g/cm³
1.0
6.290 -6.293 0.000
6.290 6.293 0.000
0.000 0.000 2.689
Ga V Mn
10 2 2
Direct
0.205 0.564 0.000 Ga
0.000 0.000 0.000 Ga
0.939 0.705 0.000 Ga
0.500 0.500 0.000 Ga
0.061 0.295 0.000 Ga
0.295 0.061 0.000 Ga
0.795 0.436 0.000 Ga
0.705 0.939 0.000 Ga
0.564 0.205 0.000 Ga
0.436 0.795 0.000 Ga
0.680 0.680 0.500 V
0.320 0.320 0.500 V
0.821 0.179 0.500 Mn
0.179 0.821 0.500 Mn

Be3FeAs | the Alexandria database | PBE | optimized geometry; calculated total energy = -20.27 eV per cell; symmetry = Pm-3m, No. 221; calculated density = 4.10 g/cm³
1.0
3.999 0.000 0.000
0.000 3.999 0.000
0.000 0.000 3.999
Be Fe As
3 1 1
Direct
0.500 0.000 0.000 Be
0.000 0.500 0.000 Be
0.000 0.000 0.500 Be
0.000 0.000 0.000 Fe
0.500 0.500 0.500 As

CeTlTeO6 | the Alexandria database | PBE | optimized geometry; calculated total energy = -111.29 eV per cell; symmetry = P-31c, No. 163; formation energy from raw total energies = -14.5 eV/f.u.; calculated density = 6.60 g/cm³
1.0
5.770 0.000 0.000
-2.885 4.997 0.000
0.000 0.000 9.910
O Ce Tl Te
12 2 2 2
Direct
0.609 0.650 0.641 O
0.650 0.609 0.141 O
0.350 0.391 0.859 O
0.041 0.391 0.641 O
0.650 0.041 0.359 O
0.391 0.350 0.359 O
0.041 0.650 0.859 O
0.959 0.609 0.359 O
0.609 0.959 0.859 O
0.959 0.350 0.141 O
0.391 0.041 0.141 O
0.350 0.959 0.641 O
0.333 0.667 0.250 Ce
0.667 0.333 0.750 Ce
0.000 0.000 0.000 Tl
0.000 0.000 0.500 Tl
0.667 0.333 0.250 Te
0.333 0.667 0.750 Te